No. 1
The following is a DFT calculation (PBE-GGA) of a relaxed Pr5Al2Cd crystal.

Structure (POSCAR):
```
Pr5Al2Cd
1.0
-3.984 3.984 7.784
3.984 -3.984 7.784
3.984 3.984 -7.784
Pr Al Cd
10 4 2
Direct
0.000 0.000 0.000 Pr
0.026 0.526 0.844 Pr
0.182 0.026 0.500 Pr
0.318 0.818 0.844 Pr
0.474 0.318 0.500 Pr
0.500 0.500 0.000 Pr
0.526 0.682 0.500 Pr
0.682 0.182 0.156 Pr
0.818 0.974 0.500 Pr
0.974 0.474 0.156 Pr
0.117 0.383 0.500 Al
0.383 0.883 0.266 Al
0.617 0.117 0.734 Al
0.883 0.617 0.500 Al
0.250 0.250 0.000 Cd
0.750 0.750 0.000 Cd
```

Electronic total energy ... -0.3136 Ry per atom
E_form ... -0.2298 eV/atom

=====

No. 2
The following is a DFT calculation (PBE-GGA) of a relaxed Pr8Al2Cd crystal.

Structure (POSCAR):
```
Pr8Al2Cd
1.0
8.387 -2.734 0.000
8.387 2.734 0.000
-4.440 0.000 7.589
Pr Al Cd
8 2 1
Direct
0.068 0.068 0.220 Pr
0.142 0.142 0.702 Pr
0.318 0.318 0.545 Pr
0.398 0.398 0.049 Pr
0.602 0.602 0.951 Pr
0.682 0.682 0.455 Pr
0.858 0.858 0.298 Pr
0.932 0.932 0.780 Pr
0.227 0.227 0.126 Al
0.773 0.773 0.874 Al
0.500 0.500 0.500 Cd
```

Electronic total energy ... -0.3228 Ry per atom
E_form ... -0.1526 eV/atom

=====

No. 3
The following is a DFT calculation (PBE-GGA) of a relaxed Pr3AlCd crystal.

Structure (POSCAR):
```
Pr3AlCd
1.0
8.506 0.000 0.000
-4.253 7.366 0.000
0.000 0.000 5.246
Pr Al Cd
6 2 2
Direct
0.199 0.397 0.250 Pr
0.199 0.801 0.250 Pr
0.397 0.199 0.750 Pr
0.603 0.801 0.250 Pr
0.801 0.199 0.750 Pr
0.801 0.603 0.750 Pr
0.333 0.667 0.750 Al
0.667 0.333 0.250 Al
0.000 0.000 0.000 Cd
0.000 0.000 0.500 Cd
```

Energy above the lowest structure with this stoichiometry ... 260 meV per atom
Electronic total energy ... -0.2775 Ry per atom
E_form ... 0.0240 eV/atom

=====

No. 4
The following is a DFT calculation (PBE-GGA) of a relaxed Pr6AlCd3 crystal.

Structure (POSCAR):
```
Pr6AlCd3
1.0
9.576 0.000 0.000
0.000 5.432 0.000
-3.617 0.000 11.508
Pr Al Cd
12 2 6
Direct
0.032 0.250 0.411 Pr
0.162 0.750 0.172 Pr
0.256 0.250 0.999 Pr
0.352 0.750 0.821 Pr
0.370 0.250 0.343 Pr
0.401 0.250 0.628 Pr
0.599 0.750 0.372 Pr
0.630 0.750 0.657 Pr
0.648 0.250 0.179 Pr
0.744 0.750 0.001 Pr
0.838 0.250 0.828 Pr
0.968 0.750 0.589 Pr
0.456 0.750 0.101 Al
0.544 0.250 0.899 Al
0.030 0.750 0.874 Cd
0.111 0.250 0.719 Cd
0.269 0.750 0.471 Cd
0.731 0.250 0.529 Cd
0.889 0.750 0.281 Cd
0.970 0.250 0.126 Cd
```

Electronic total energy ... -0.2757 Ry per atom
E_form ... -0.2349 eV/atom

=====

No. 5
The following is a DFT calculation (PBE-GGA) of a relaxed Pr6Al2Cd crystal.

Structure (POSCAR):
```
Pr6Al2Cd
1.0
7.834 0.000 0.000
0.000 7.834 0.000
0.000 0.000 10.953
Pr Al Cd
12 4 2
Direct
0.216 0.216 0.000 Pr
0.227 0.227 0.327 Pr
0.227 0.227 0.673 Pr
0.273 0.727 0.173 Pr
0.273 0.727 0.827 Pr
0.284 0.716 0.500 Pr
0.716 0.284 0.500 Pr
0.727 0.273 0.173 Pr
0.727 0.273 0.827 Pr
0.773 0.773 0.327 Pr
0.773 0.773 0.673 Pr
0.784 0.784 0.000 Pr
0.000 0.000 0.166 Al
0.000 0.000 0.834 Al
0.500 0.500 0.334 Al
0.500 0.500 0.666 Al
0.000 0.000 0.500 Cd
0.500 0.500 0.000 Cd
```

Energy above the lowest structure with this stoichiometry ... 366 meV per atom
Electronic total energy ... -0.2904 Ry per atom
E_form ... 0.1682 eV/atom

=====

No. 6
The following is a DFT calculation (PBE-GGA) of a relaxed Pr6Al2Cd crystal.

Structure (POSCAR):
```
Pr6Al2Cd
1.0
-5.064 5.140 5.447
5.064 -5.140 5.447
5.064 5.140 -5.447
Pr Al Cd
12 4 2
Direct
0.037 0.823 0.214 Pr
0.247 0.545 0.297 Pr
0.247 0.950 0.703 Pr
0.273 0.318 0.591 Pr
0.273 0.682 0.954 Pr
0.392 0.177 0.214 Pr
0.608 0.823 0.786 Pr
0.727 0.318 0.046 Pr
0.727 0.682 0.409 Pr
0.753 0.050 0.297 Pr
0.753 0.455 0.703 Pr
0.963 0.177 0.786 Pr
0.000 0.136 0.136 Al
0.000 0.864 0.864 Al
0.379 0.379 0.000 Al
0.621 0.621 0.000 Al
0.000 0.500 0.500 Cd
0.500 0.000 0.500 Cd
```

Energy above the lowest structure with this stoichiometry ... 0 meV per atom
Electronic total energy ... -0.3173 Ry per atom
E_form ... -0.1975 eV/atom

=====

No. 7
The following is a DFT calculation (PBE-GGA) of a relaxed Pr2AlCd crystal.

Structure (POSCAR):
```
Pr2AlCd
1.0
3.661 0.000 0.000
0.000 3.661 0.000
0.000 0.000 8.279
Pr Al Cd
2 1 1
Direct
0.000 0.000 0.237 Pr
0.000 0.000 0.763 Pr
0.500 0.500 0.000 Al
0.500 0.500 0.500 Cd
```

Electronic total energy ... -0.2860 Ry per atom
E_form ... -0.3365 eV/atom

=====

No. 8
The following is a DFT calculation (PBE-GGA) of a relaxed Pr2AlCd crystal.

Structure (POSCAR):
```
Pr2AlCd
1.0
1.890 1.091 9.764
-1.890 1.091 9.764
0.000 -2.182 9.764
Pr Al Cd
2 1 1
Direct
0.244 0.244 0.244 Pr
0.756 0.756 0.756 Pr
0.500 0.500 0.500 Al
0.000 0.000 0.000 Cd
```

Electronic total energy ... -0.2700 Ry per atom
E_form ... -0.1194 eV/atom

=====

No. 9
The following is a DFT calculation (PBE-GGA) of a relaxed Pr7AlCd3 crystal.

Structure (POSCAR):
```
Pr7AlCd3
1.0
-2.941 5.070 5.821
2.941 -5.070 5.821
2.941 5.070 -5.821
Pr Al Cd
7 1 3
Direct
0.000 0.000 0.000 Pr
0.097 0.766 0.331 Pr
0.312 0.500 0.812 Pr
0.435 0.766 0.669 Pr
0.565 0.234 0.331 Pr
0.688 0.500 0.188 Pr
0.903 0.234 0.669 Pr
0.000 0.500 0.500 Al
0.273 0.273 0.000 Cd
0.500 0.000 0.500 Cd
0.727 0.727 0.000 Cd
```

Electronic total energy ... -0.2732 Ry per atom
E_form ... -0.0851 eV/atom

=====

No. 10
The following is a DFT calculation (PBE-GGA) of a relaxed Pr2Al5Cd crystal.

Structure (POSCAR):
```
Pr2Al5Cd
1.0
-3.161 3.161 4.399
3.161 -3.161 4.399
3.161 3.161 -4.399
Pr Al Cd
2 5 1
Direct
0.000 0.500 0.500 Pr
0.500 0.000 0.500 Pr
0.493 0.493 0.000 Al
0.508 0.508 0.516 Al
0.508 0.992 0.000 Al
0.992 0.508 0.000 Al
0.992 0.992 0.484 Al
0.015 0.015 0.000 Cd
```

Electronic total energy ... -0.2914 Ry per atom
E_form ... -0.3157 eV/atom

=====

No. 11
The following is a DFT calculation (PBE-GGA) of a relaxed Pr3Al2Cd crystal.

Structure (POSCAR):
```
Pr3Al2Cd
1.0
3.649 0.000 0.000
0.000 3.649 0.000
0.000 0.000 12.320
Pr Al Cd
3 2 1
Direct
0.000 0.000 0.000 Pr
0.000 0.000 0.322 Pr
0.000 0.000 0.678 Pr
0.500 0.500 0.165 Al
0.500 0.500 0.835 Al
0.500 0.500 0.500 Cd
```

Energy above the lowest structure with this stoichiometry ... 0 meV per atom
Electronic total energy ... -0.3031 Ry per atom
E_form ... -0.3337 eV/atom

=====

No. 12
The following is a DFT calculation (PBE-GGA) of a relaxed Pr3Al2Cd crystal.

Structure (POSCAR):
```
Pr3Al2Cd
1.0
5.388 0.000 0.000
-2.694 4.666 0.000
0.000 0.000 13.188
Pr Al Cd
6 4 2
Direct
0.000 0.000 0.243 Pr
0.000 0.000 0.757 Pr
0.333 0.667 0.416 Pr
0.333 0.667 0.921 Pr
0.667 0.333 0.079 Pr
0.667 0.333 0.584 Pr
0.000 0.000 0.000 Al
0.000 0.000 0.500 Al
0.333 0.667 0.170 Al
0.667 0.333 0.830 Al
0.333 0.667 0.669 Cd
0.667 0.333 0.331 Cd
```

Energy above the lowest structure with this stoichiometry ... 8 meV per atom
Electronic total energy ... -0.3025 Ry per atom
E_form ... -0.3258 eV/atom

=====

Among the records above, which one has the highest electronic total energy?
number 8